Record 1
Computed, not measured: TlOsW2 after structural relaxation at the PBE level of DFT.

ΔE_f: 0.60 eV/atom
Theoretical density: 18.15 Mg/m³
Calculated total energy: -0.3409 hartree per atom
Energy relative to the lowest polymorph listed for this composition: 0.0562 eV per atom
Total magnetic moment: 0.0 μB/cell

a b c (Å): 2.900 2.900 8.295
angles (deg): 90.00 90.00 90.00
Fractional positions:
1 W 0.000 0.000 0.024
2 W 0.500 0.500 0.267
3 Tl 0.500 0.500 0.739
4 Os 0.000 0.000 0.470

Record 2
Computed, not measured: SrH4Cl2O2 after structural relaxation at the PBE level of DFT.

Theoretical density: 2.53 Mg/m³
Calculated total energy: -0.1738 hartree per atom
Total magnetic moment: 0.0 μB/cell

a b c (Å): 7.127 7.127 6.682
angles (deg): 71.10 71.10 53.97
Fractional positions:
1 H 0.184 0.581 0.400
2 H 0.581 0.184 0.900
3 H 0.252 0.370 0.592
4 H 0.748 0.630 0.408
5 H 0.370 0.252 0.092
6 H 0.816 0.419 0.600
7 H 0.630 0.748 0.908
8 H 0.419 0.816 0.100
9 Sr 0.737 0.263 0.250
10 Sr 0.263 0.737 0.750
11 Cl 0.952 0.771 0.183
12 Cl 0.048 0.229 0.817
13 Cl 0.229 0.048 0.317
14 Cl 0.771 0.952 0.683
15 O 0.473 0.307 0.994
16 O 0.693 0.527 0.506
17 O 0.307 0.473 0.494
18 O 0.527 0.693 0.006

Record 3
Computed, not measured: NaInO after structural relaxation at the PBE level of DFT.

Theoretical density: 4.11 Mg/m³
Calculated total energy: -0.1477 hartree per atom
Uncorrected formation energy: -97.9 kJ/mol of atoms
Total magnetic moment: 0.0 μB/cell

a b c (Å): 3.278 7.004 6.398
angles (deg): 61.94 75.15 76.47
Fractional positions:
1 O 0.119 0.190 0.572
2 O 0.881 0.810 0.428
3 In 0.491 0.242 0.776
4 In 0.509 0.758 0.224
5 Na 0.245 0.802 0.708
6 Na 0.755 0.198 0.292

Record 4
Computed, not measured: Li2TaRu after structural relaxation at the PBE level of DFT.

ΔE_f: 0.25 eV/atom
Theoretical density: 8.12 Mg/m³
Calculated total energy: -0.2199 hartree per atom
Energy relative to the lowest polymorph listed for this composition: 0.1653 eV per atom
Total magnetic moment: 0.0 μB/cell

a b c (Å): 2.624 4.567 5.052
angles (deg): 90.00 90.00 90.00
Fractional positions:
1 Ru 0.500 0.500 0.250
2 Ta 0.500 0.500 0.750
3 Li 0.000 0.000 0.482
4 Li 0.000 0.000 0.018

Record 5
Computed, not measured: RbHg2Te3 after structural relaxation at the PBE level of DFT.

Theoretical density: 6.21 Mg/m³
Calculated total energy: -0.0790 hartree per atom
Uncorrected formation energy: -30.5 kJ/mol of atoms
Total magnetic moment: 0.0 μB/cell

a b c (Å): 9.159 8.380 8.923
angles (deg): 106.07 84.54 134.47
Fractional positions:
1 Rb 0.806 0.472 0.140
2 Rb 0.194 0.528 0.860
3 Te 0.902 0.612 0.713
4 Te 0.618 0.723 0.114
5 Te 0.371 0.078 0.342
6 Te 0.382 0.277 0.886
7 Te 0.629 0.922 0.658
8 Te 0.098 0.388 0.287
9 Hg 0.500 0.500 0.500
10 Hg 0.747 0.191 0.439
11 Hg 0.253 0.809 0.561
12 Hg 0.000 0.000 0.000

Record 6
Computed, not measured: Sc2Bi2As after structural relaxation at the PBE level of DFT.

ΔE_f: -0.55 eV/atom
Theoretical density: 7.79 Mg/m³
Calculated total energy: -0.2044 hartree per atom
Total magnetic moment: 0.0 μB/cell

a b c (Å): 7.347 7.347 4.602
angles (deg): 90.00 90.00 90.00
Fractional positions:
1 Bi 0.654 0.846 0.500
2 Bi 0.346 0.154 0.500
3 Bi 0.846 0.346 0.500
4 Bi 0.154 0.654 0.500
5 Sc 0.337 0.837 0.000
6 Sc 0.163 0.337 0.000
7 Sc 0.837 0.663 0.000
8 Sc 0.663 0.163 0.000
9 As 0.500 0.500 0.000
10 As 0.000 0.000 0.000

Record 7
Computed, not measured: CdAsSe after structural relaxation at the PBE level of DFT.

Theoretical density: 5.83 Mg/m³
Calculated total energy: -0.1065 hartree per atom
Energy relative to the lowest polymorph listed for this composition: 0.0000 eV per atom
Uncorrected formation energy: 11.4 kJ/mol of atoms
Total magnetic moment: 0.0 μB/cell

a b c (Å): 5.889 5.889 5.889
angles (deg): 142.28 142.29 54.40
Fractional positions:
1 As 0.943 0.943 0.000
2 Cd 0.349 0.349 0.000
3 Se 0.708 0.708 0.000

Record 8
Computed, not measured: CdTe2F after structural relaxation at the PBE level of DFT.

Theoretical density: 6.72 Mg/m³
Calculated total energy: -0.0967 hartree per atom
Energy relative to the lowest polymorph listed for this composition: 0.4898 eV per atom
Uncorrected formation energy: -35.2 kJ/mol of atoms
Total magnetic moment: 0.0 μB/cell

a b c (Å): 9.845 9.845 9.845
angles (deg): 19.78 19.78 19.78
Fractional positions:
1 F 0.000 0.000 0.000
2 Cd 0.500 0.500 0.500
3 Te 0.920 0.920 0.920
4 Te 0.080 0.080 0.080

Record 9
Computed, not measured: BaZrCrI2 after structural relaxation at the PBE level of DFT.

Theoretical density: 5.61 Mg/m³
Calculated total energy: -0.1659 hartree per atom
Uncorrected formation energy: 11.9 kJ/mol of atoms
Total magnetic moment: 0.5 μB/cell

a b c (Å): 5.678 4.902 5.678
angles (deg): 90.00 90.00 90.00
Site moments in Bohr magnetons follow the coordinates.
Fractional positions:
1 Zr 0.000 0.500 0.000  -1.07
2 Cr 0.000 0.000 0.000  2.54
3 I 0.500 0.000 0.000  -0.02
4 I 0.000 0.000 0.500  0.00
5 Ba 0.500 0.500 0.500  -0.13

Record 10
Computed, not measured: Ag2TeCl after structural relaxation at the PBE level of DFT.

Theoretical density: 5.21 Mg/m³
Calculated total energy: -0.1034 hartree per atom
Energy relative to the lowest polymorph listed for this composition: 0.0522 eV per atom
Uncorrected formation energy: -13.6 kJ/mol of atoms
Total magnetic moment: 0.0 μB/cell

a b c (Å): 6.283 6.283 7.555
angles (deg): 65.43 65.43 90.00
Fractional positions:
1 Ag 0.620 0.125 0.250
2 Ag 0.875 0.870 0.750
3 Ag 0.375 0.380 0.750
4 Ag 0.130 0.625 0.250
5 Te 0.000 0.000 0.000
6 Te 0.750 0.250 0.500
7 Cl 0.500 0.500 0.000
8 Cl 0.250 0.750 0.500

Record 11
Computed, not measured: CaAlCu after structural relaxation at the PBE level of DFT.

ΔE_f: -0.25 eV/atom
Theoretical density: 3.31 Mg/m³
Calculated total energy: -0.1299 hartree per atom
Total magnetic moment: 0.0 μB/cell

a b c (Å): 4.349 4.349 7.572
angles (deg): 106.69 106.69 90.01
Fractional positions:
1 Al 0.097 0.262 0.194
2 Al 0.903 0.068 0.806
3 Cu 0.500 0.163 0.000
4 Cu 0.000 0.665 0.000
5 Ca 0.661 0.825 0.322
6 Ca 0.339 0.504 0.678

Record 12
Computed, not measured: NiBi3Pb after structural relaxation at the PBE level of DFT.

ΔE_f: 1.41 eV/atom
Theoretical density: 7.29 Mg/m³
Calculated total energy: -0.1034 hartree per atom
Energy relative to the lowest polymorph listed for this composition: 1.2895 eV per atom
Total magnetic moment: 0.0 μB/cell

a b c (Å): 5.880 5.880 5.880
angles (deg): 90.00 90.00 90.00
Fractional positions:
1 Pb 0.000 0.000 0.000
2 Ni 0.500 0.500 0.500
3 Bi 0.500 0.000 0.000
4 Bi 0.000 0.500 0.000
5 Bi 0.000 0.000 0.500